# Dy3Mg7Cd (PBE-GGA, optimized geometry)
data_Dy3Mg7Cd
_symmetry_space_group_name_H-M 'P 1'
_symmetry_Int_Tables_number 1
_symmetry_space_group_name_Hall 'P 1'
_cell_length_a 11.4689
_cell_length_b 11.4689
_cell_length_c 15.2977
_cell_angle_alpha 90.00
_cell_angle_beta 90.00
_cell_angle_gamma 163.47
loop_
_atom_site_label
_atom_site_fract_x
_atom_site_fract_y
_atom_site_fract_z
Dy1 0.1203 0.8797 0.5477
Dy2 0.1203 0.8797 0.9523
Dy3 0.2636 0.7364 0.2500
Dy4 0.7364 0.2636 0.7500
Dy5 0.8797 0.1203 0.0477
Dy6 0.8797 0.1203 0.4523
Mg1 0.2637 0.7363 0.5735
Mg2 0.2637 0.7363 0.9265
Mg3 0.3717 0.6283 0.6555
Mg4 0.3717 0.6283 0.8445
Mg5 0.4140 0.5860 0.2500
Mg6 0.4937 0.5063 0.5924
Mg7 0.4937 0.5063 0.9076
Mg8 0.5063 0.4937 0.0924
Mg9 0.5063 0.4937 0.4076
Mg10 0.5860 0.4140 0.7500
Mg11 0.6283 0.3717 0.1555
Mg12 0.6283 0.3717 0.3445
Mg13 0.7363 0.2637 0.0735
Mg14 0.7363 0.2637 0.4265
Cd1 0.0333 0.9667 0.2500
Cd2 0.9667 0.0333 0.7500
# - Density of states at the Fermi level: 16.81 states/eV per cell
# - Formation enthalpy at 0 K: 0.05 eV per atom
# - Total magnetic moment: 0.000 μB per atom